# PrGaTe, optimized geometry, DFT PBE
# E, eV per atom: -4.0563
data_PrGaTe
_chemical_formula_sum 'Pr1 Ga1 Te1'
_cell_length_a 5.192
_cell_length_b 5.192
_cell_length_c 5.192
_cell_angle_alpha 60.00
_cell_angle_beta 60.00
_cell_angle_gamma 60.00
_symmetry_space_group_name_H-M 'P 1'
_symmetry_Int_Tables_number 1
loop_
_symmetry_equiv_pos_as_xyz
'x,y,z'
loop_
_atom_site_label
_atom_site_type_symbol
_atom_site_fract_x
_atom_site_fract_y
_atom_site_fract_z
Ga1 Ga 0.250 0.250 0.250
Pr1 Pr 0.000 0.000 0.000
Te1 Te 0.750 0.750 0.750

=====

# Y3Ho3Te2Os, optimized geometry, DFT PBE
# E, eV per atom: -6.3631
data_Y3Ho3Te2Os
_chemical_formula_sum 'Y3 Ho3 Te2 Os1'
_cell_length_a 8.280
_cell_length_b 8.280
_cell_length_c 4.050
_cell_angle_alpha 90.00
_cell_angle_beta 90.00
_cell_angle_gamma 120.00
_symmetry_space_group_name_H-M 'P 1'
_symmetry_Int_Tables_number 1
loop_
_symmetry_equiv_pos_as_xyz
'x,y,z'
loop_
_atom_site_label
_atom_site_type_symbol
_atom_site_fract_x
_atom_site_fract_y
_atom_site_fract_z
Ho1 Ho 0.239 0.000 0.500
Ho2 Ho 0.000 0.239 0.500
Ho3 Ho 0.761 0.761 0.500
Os1 Os 0.000 0.000 0.000
Te1 Te 0.667 0.333 0.500
Te2 Te 0.333 0.667 0.500
Y1 Y 0.608 0.000 0.000
Y2 Y 0.392 0.392 0.000
Y3 Y 0.000 0.608 0.000

=====

# Co8Ni7, optimized geometry, DFT PBE
# Formation enthalpy at 0 K, eV per atom: 0.0804
data_Co8Ni7
_chemical_formula_sum 'Co16 Ni14'
_cell_length_a 8.572
_cell_length_b 8.572
_cell_length_c 4.482
_cell_angle_alpha 90.00
_cell_angle_beta 90.00
_cell_angle_gamma 90.00
_symmetry_space_group_name_H-M 'P 1'
_symmetry_Int_Tables_number 1
loop_
_symmetry_equiv_pos_as_xyz
'x,y,z'
loop_
_atom_site_label
_atom_site_type_symbol
_atom_site_fract_x
_atom_site_fract_y
_atom_site_fract_z
Co1 Co 0.738 0.068 0.000
Co2 Co 0.932 0.262 0.000
Co3 Co 0.068 0.738 0.000
Co4 Co 0.262 0.932 0.000
Co5 Co 0.682 0.318 0.250
Co6 Co 0.318 0.682 0.250
Co7 Co 0.182 0.182 0.250
Co8 Co 0.818 0.818 0.250
Co9 Co 0.432 0.238 0.500
Co10 Co 0.238 0.432 0.500
Co11 Co 0.762 0.568 0.500
Co12 Co 0.568 0.762 0.500
Co13 Co 0.182 0.182 0.750
Co14 Co 0.818 0.818 0.750
Co15 Co 0.682 0.318 0.750
Co16 Co 0.318 0.682 0.750
Ni1 Ni 0.000 0.000 0.000
Ni2 Ni 0.463 0.132 0.000
Ni3 Ni 0.400 0.400 0.000
Ni4 Ni 0.132 0.463 0.000
Ni5 Ni 0.868 0.537 0.000
Ni6 Ni 0.600 0.600 0.000
Ni7 Ni 0.537 0.868 0.000
Ni8 Ni 0.632 0.037 0.500
Ni9 Ni 0.900 0.100 0.500
Ni10 Ni 0.963 0.368 0.500
Ni11 Ni 0.500 0.500 0.500
Ni12 Ni 0.037 0.632 0.500
Ni13 Ni 0.100 0.900 0.500
Ni14 Ni 0.368 0.963 0.500

=====

# Lu2TlPd, optimized geometry, DFT PBE
# E, eV per atom: -4.3873
data_Lu2TlPd
_chemical_formula_sum 'Lu2 Tl1 Pd1'
_cell_length_a 5.006
_cell_length_b 5.006
_cell_length_c 5.006
_cell_angle_alpha 60.00
_cell_angle_beta 60.00
_cell_angle_gamma 60.00
_symmetry_space_group_name_H-M 'P 1'
_symmetry_Int_Tables_number 1
loop_
_symmetry_equiv_pos_as_xyz
'x,y,z'
loop_
_atom_site_label
_atom_site_type_symbol
_atom_site_fract_x
_atom_site_fract_y
_atom_site_fract_z
Lu1 Lu 0.000 0.000 0.000
Lu2 Lu 0.750 0.750 0.750
Pd1 Pd 0.250 0.250 0.250
Tl1 Tl 0.500 0.500 0.500

=====

# PrPuAl, optimized geometry, DFT PBE
# E, eV per atom: -7.1057
data_PrPuAl
_chemical_formula_sum 'Pr1 Pu1 Al1'
_cell_length_a 5.013
_cell_length_b 5.013
_cell_length_c 5.013
_cell_angle_alpha 60.00
_cell_angle_beta 60.00
_cell_angle_gamma 60.00
_symmetry_space_group_name_H-M 'P 1'
_symmetry_Int_Tables_number 1
loop_
_symmetry_equiv_pos_as_xyz
'x,y,z'
loop_
_atom_site_label
_atom_site_type_symbol
_atom_site_fract_x
_atom_site_fract_y
_atom_site_fract_z
Al1 Al 0.750 0.750 0.750
Pr1 Pr 0.500 0.500 0.500
Pu1 Pu 0.250 0.250 0.250

=====

# Ba2AsOsS6, optimized geometry, DFT PBE
# E, eV per atom: -5.1528
data_Ba2AsOsS6
_chemical_formula_sum 'Ba2 As1 Os1 S6'
_cell_length_a 6.878
_cell_length_b 6.878
_cell_length_c 6.878
_cell_angle_alpha 120.08
_cell_angle_beta 120.08
_cell_angle_gamma 89.86
_symmetry_space_group_name_H-M 'P 1'
_symmetry_Int_Tables_number 1
loop_
_symmetry_equiv_pos_as_xyz
'x,y,z'
loop_
_atom_site_label
_atom_site_type_symbol
_atom_site_fract_x
_atom_site_fract_y
_atom_site_fract_z
As1 As 0.500 0.500 0.000
Ba1 Ba 0.750 0.250 0.500
Ba2 Ba 0.250 0.750 0.500
Os1 Os 0.000 0.000 0.000
S1 S 0.244 0.244 0.000
S2 S 0.756 0.244 0.000
S3 S 0.244 0.756 0.000
S4 S 0.756 0.756 0.000
S5 S 0.244 0.244 0.489
S6 S 0.756 0.756 0.511

=====

# RbGdFeSe3, optimized geometry, DFT PBE
# E, eV per atom: -5.2715
data_RbGdFeSe3
_chemical_formula_sum 'Rb4 Gd4 Fe4 Se12'
_cell_length_a 10.915
_cell_length_b 4.159
_cell_length_c 15.441
_cell_angle_alpha 90.00
_cell_angle_beta 90.00
_cell_angle_gamma 90.00
_symmetry_space_group_name_H-M 'P 1'
_symmetry_Int_Tables_number 1
loop_
_symmetry_equiv_pos_as_xyz
'x,y,z'
loop_
_atom_site_label
_atom_site_type_symbol
_atom_site_fract_x
_atom_site_fract_y
_atom_site_fract_z
Fe1 Fe 0.736 0.250 0.219
Fe2 Fe 0.236 0.250 0.281
Fe3 Fe 0.764 0.750 0.719
Fe4 Fe 0.264 0.750 0.781
Gd1 Gd 0.986 0.750 0.248
Gd2 Gd 0.486 0.750 0.252
Gd3 Gd 0.514 0.250 0.748
Gd4 Gd 0.014 0.250 0.752
Rb1 Rb 0.265 0.250 0.006
Rb2 Rb 0.765 0.250 0.494
Rb3 Rb 0.235 0.750 0.506
Rb4 Rb 0.735 0.750 0.994
Se1 Se 0.916 0.250 0.128
Se2 Se 0.553 0.250 0.131
Se3 Se 0.237 0.750 0.189
Se4 Se 0.737 0.750 0.311
Se5 Se 0.053 0.250 0.369
Se6 Se 0.416 0.250 0.372
Se7 Se 0.584 0.750 0.628
Se8 Se 0.947 0.750 0.631
Se9 Se 0.263 0.250 0.689
Se10 Se 0.763 0.250 0.811
Se11 Se 0.447 0.750 0.869
Se12 Se 0.084 0.750 0.872

=====

# Zr4W2Au3N3, optimized geometry, DFT PBE
# E, eV per atom: -8.6377
data_Zr4W2Au3N3
_chemical_formula_sum 'Zr8 W4 Au6 N6'
_cell_length_a 5.693
_cell_length_b 5.693
_cell_length_c 13.793
_cell_angle_alpha 101.78
_cell_angle_beta 101.78
_cell_angle_gamma 60.23
_symmetry_space_group_name_H-M 'P 1'
_symmetry_Int_Tables_number 1
loop_
_symmetry_equiv_pos_as_xyz
'x,y,z'
loop_
_atom_site_label
_atom_site_type_symbol
_atom_site_fract_x
_atom_site_fract_y
_atom_site_fract_z
Au1 Au 0.416 0.294 0.250
Au2 Au 0.128 0.872 0.250
Au3 Au 0.706 0.584 0.250
Au4 Au 0.294 0.416 0.750
Au5 Au 0.872 0.128 0.750
Au6 Au 0.584 0.706 0.750
N1 N 0.673 0.155 0.000
N2 N 0.000 0.500 0.000
N3 N 0.327 0.845 0.000
N4 N 0.155 0.673 0.500
N5 N 0.500 0.000 0.500
N6 N 0.845 0.327 0.500
W1 W 0.355 0.522 0.067
W2 W 0.478 0.645 0.433
W3 W 0.522 0.355 0.567
W4 W 0.645 0.478 0.933
Zr1 Zr 0.696 0.867 0.097
Zr2 Zr 0.032 0.197 0.097
Zr3 Zr 0.803 0.968 0.403
Zr4 Zr 0.133 0.304 0.403
Zr5 Zr 0.867 0.696 0.597
Zr6 Zr 0.197 0.032 0.597
Zr7 Zr 0.968 0.803 0.903
Zr8 Zr 0.304 0.133 0.903

=====

# LiHfOs, optimized geometry, DFT PBE
# E, eV per atom: -7.2384
data_LiHfOs
_chemical_formula_sum 'Li1 Hf1 Os1'
_cell_length_a 4.079
_cell_length_b 4.079
_cell_length_c 4.079
_cell_angle_alpha 60.00
_cell_angle_beta 60.00
_cell_angle_gamma 60.00
_symmetry_space_group_name_H-M 'P 1'
_symmetry_Int_Tables_number 1
loop_
_symmetry_equiv_pos_as_xyz
'x,y,z'
loop_
_atom_site_label
_atom_site_type_symbol
_atom_site_fract_x
_atom_site_fract_y
_atom_site_fract_z
Hf1 Hf 0.250 0.250 0.250
Li1 Li 0.000 0.000 0.000
Os1 Os 0.750 0.750 0.750

=====

# Ta3Ni2, optimized geometry, DFT PBE
# Formation enthalpy at 0 K, eV per atom: 0.1663
data_Ta3Ni2
_chemical_formula_sum 'Ta18 Ni12'
_cell_length_a 9.561
_cell_length_b 9.561
_cell_length_c 5.183
_cell_angle_alpha 90.00
_cell_angle_beta 90.00
_cell_angle_gamma 90.00
_symmetry_space_group_name_H-M 'P 1'
_symmetry_Int_Tables_number 1
loop_
_symmetry_equiv_pos_as_xyz
'x,y,z'
loop_
_atom_site_label
_atom_site_type_symbol
_atom_site_fract_x
_atom_site_fract_y
_atom_site_fract_z
Ni1 Ni 0.364 0.037 0.000
Ni2 Ni 0.104 0.104 0.000
Ni3 Ni 0.037 0.364 0.000
Ni4 Ni 0.963 0.636 0.000
Ni5 Ni 0.896 0.896 0.000
Ni6 Ni 0.636 0.963 0.000
Ni7 Ni 0.537 0.136 0.500
Ni8 Ni 0.604 0.396 0.500
Ni9 Ni 0.864 0.463 0.500
Ni10 Ni 0.136 0.537 0.500
Ni11 Ni 0.396 0.604 0.500
Ni12 Ni 0.463 0.864 0.500
Ta1 Ta 0.560 0.220 0.000
Ta2 Ta 0.780 0.440 0.000
Ta3 Ta 0.500 0.500 0.000
Ta4 Ta 0.220 0.560 0.000
Ta5 Ta 0.440 0.780 0.000
Ta6 Ta 0.815 0.185 0.249
Ta7 Ta 0.185 0.815 0.249
Ta8 Ta 0.315 0.315 0.251
Ta9 Ta 0.685 0.685 0.251
Ta10 Ta 0.000 0.000 0.500
Ta11 Ta 0.280 0.060 0.500
Ta12 Ta 0.060 0.280 0.500
Ta13 Ta 0.940 0.720 0.500
Ta14 Ta 0.720 0.940 0.500
Ta15 Ta 0.315 0.315 0.749
Ta16 Ta 0.685 0.685 0.749
Ta17 Ta 0.815 0.185 0.751
Ta18 Ta 0.185 0.815 0.751

=====

# NdNi, optimized geometry, DFT PBE
# Formation enthalpy at 0 K, eV per atom: -0.3266
data_NdNi
_chemical_formula_sum 'Nd2 Ni2'
_cell_length_a 4.313
_cell_length_b 5.583
_cell_length_c 5.583
_cell_angle_alpha 40.15
_cell_angle_beta 90.00
_cell_angle_gamma 90.00
_symmetry_space_group_name_H-M 'P 1'
_symmetry_Int_Tables_number 1
loop_
_symmetry_equiv_pos_as_xyz
'x,y,z'
loop_
_atom_site_label
_atom_site_type_symbol
_atom_site_fract_x
_atom_site_fract_y
_atom_site_fract_z
Nd1 Nd 0.000 0.139 0.139
Nd2 Nd 0.500 0.862 0.862
Ni1 Ni 0.000 0.427 0.427
Ni2 Ni 0.500 0.572 0.572

=====

# LiZrO3, optimized geometry, DFT PBE
# E, eV per atom: -7.4073
data_LiZrO3
_chemical_formula_sum 'Li4 Zr4 O12'
_cell_length_a 5.385
_cell_length_b 5.585
_cell_length_c 7.384
_cell_angle_alpha 90.00
_cell_angle_beta 90.00
_cell_angle_gamma 90.00
_symmetry_space_group_name_H-M 'P 1'
_symmetry_Int_Tables_number 1
loop_
_symmetry_equiv_pos_as_xyz
'x,y,z'
loop_
_atom_site_label
_atom_site_type_symbol
_atom_site_fract_x
_atom_site_fract_y
_atom_site_fract_z
Li1 Li 0.009 0.043 0.250
Li2 Li 0.491 0.543 0.250
Li3 Li 0.509 0.457 0.750
Li4 Li 0.991 0.957 0.750
O1 O 0.674 0.318 0.090
O2 O 0.826 0.818 0.090
O3 O 0.151 0.414 0.250
O4 O 0.349 0.914 0.250
O5 O 0.674 0.318 0.410
O6 O 0.826 0.818 0.410
O7 O 0.174 0.182 0.590
O8 O 0.326 0.682 0.590
O9 O 0.651 0.086 0.750
O10 O 0.849 0.586 0.750
O11 O 0.174 0.182 0.910
O12 O 0.326 0.682 0.910
Zr1 Zr 0.500 0.000 0.000
Zr2 Zr 0.000 0.500 0.000
Zr3 Zr 0.500 0.000 0.500
Zr4 Zr 0.000 0.500 0.500